--- w ---
VASP calculation (PBE-GGA) on TaAg3Sn after structural relaxation.

Calculated values
**Density of states at the Fermi level**: 5.8 states/eV/cell
**Size of the total moment**: 0.0 μB/f.u.
**Space-group type**: Pm-3m

a = 5.1680 Å, b = 5.1680 Å, c = 5.1680 Å
α = 90.00°, β = 90.00°, γ = 90.00°
Last column: nearest neighbours and their distance in Å.
Fractional positions:
Ag1 0.0000 0.0000 0.5000  2 Ta 2.58
Ag2 0.0000 0.5000 0.0000  2 Ta 2.58
Ag3 0.5000 0.0000 0.0000  2 Ta 2.58
Sn1 0.5000 0.5000 0.5000  12 Ag 3.65
Ta1 0.0000 0.0000 0.0000  6 Ag 2.58


--- x ---
VASP calculation (PBE-GGA) on TaAg3Sn after structural relaxation.

Calculated values
**Density of states at the Fermi level**: 6.2 states/eV/cell
**Size of the total moment**: 3.2 μB/f.u.
**Space-group type**: Pm-3m

a = 5.0669 Å, b = 5.0669 Å, c = 5.0669 Å
α = 90.00°, β = 90.00°, γ = 90.00°
Last column: nearest neighbours and their distance in Å.
Fractional positions:
Sn1 0.0000 0.0000 0.0000  6 Ag 2.53
Ag1 0.0000 0.5000 0.0000  2 Sn 2.53
Ag2 0.5000 0.0000 0.0000  2 Sn 2.53
Ag3 0.0000 0.0000 0.5000  2 Sn 2.53
Ta1 0.5000 0.5000 0.5000  12 Ag 3.58


Name the most stable of them. w.


--- w ---
VASP calculation (PBE-GGA) on Ta3AgSn after structural relaxation.

Calculated values
**Density of states at the Fermi level**: 1.4 states/eV/cell
**Size of the total moment**: 0.0 μB/f.u.
**Space-group type**: Pm-3m

a = 5.0147 Å, b = 5.0147 Å, c = 5.0147 Å
α = 90.00°, β = 90.00°, γ = 90.00°
Last column: nearest neighbours and their distance in Å.
Fractional positions:
Ta1 0.5000 0.0000 0.0000  2 Sn 2.51
Ta2 0.0000 0.5000 0.0000  2 Sn 2.51
Ta3 0.0000 0.0000 0.5000  2 Sn 2.51
Ag1 0.5000 0.5000 0.5000  12 Ta 3.55
Sn1 0.0000 0.0000 0.0000  6 Ta 2.51


--- x ---
VASP calculation (PBE-GGA) on Ta3AgSn after structural relaxation.

Calculated values
**Density of states at the Fermi level**: 3.5 states/eV/cell
**Size of the total moment**: 0.0 μB/f.u.
**Space-group type**: Pm-3m

a = 4.8992 Å, b = 4.8992 Å, c = 4.8992 Å
α = 90.00°, β = 90.00°, γ = 90.00°
Last column: nearest neighbours and their distance in Å.
Fractional positions:
Ta1 0.5000 0.0000 0.0000  2 Ag 2.45
Ta2 0.0000 0.5000 0.0000  2 Ag 2.45
Ta3 0.0000 0.0000 0.5000  2 Ag 2.45
Sn1 0.5000 0.5000 0.5000  12 Ta 3.46
Ag1 0.0000 0.0000 0.0000  6 Ta 2.45


Name the most stable of them. x.


--- w ---
VASP calculation (PBE-GGA) on Tc2AgSn2 after structural relaxation.

Calculated values
**Density of states at the Fermi level**: 11.6 states/eV/cell
**Size of the total moment**: 0.0 μB/f.u.
**Space-group type**: P4/mbm

a = 7.7007 Å, b = 7.7007 Å, c = 3.1412 Å
α = 90.00°, β = 90.00°, γ = 90.00°
Last column: nearest neighbours and their distance in Å.
Fractional positions:
Sn1 0.1506 0.3494 0.0000  6 Tc 2.73-2.76, 2 Ag 2.93
Sn2 0.8494 0.6506 0.0000  6 Tc 2.73-2.76, 2 Ag 2.93
Sn3 0.6506 0.1506 0.0000  6 Tc 2.73-2.76, 2 Ag 2.93
Sn4 0.3494 0.8494 0.0000  6 Tc 2.73-2.76, 2 Ag 2.93
Tc1 0.3556 0.1444 0.5000  6 Sn 2.73-2.76
Tc2 0.8556 0.3556 0.5000  6 Sn 2.73-2.76
Tc3 0.6444 0.8556 0.5000  6 Sn 2.73-2.76
Tc4 0.1444 0.6444 0.5000  6 Sn 2.73-2.76
Ag1 0.5000 0.5000 0.0000  4 Sn 2.93, 2 Ag 3.14
Ag2 0.0000 0.0000 0.0000  4 Sn 2.93, 2 Ag 3.14


--- x ---
VASP calculation (PBE-GGA) on Tc2AgSn2 after structural relaxation.

Calculated values
**Density of states at the Fermi level**: 8.8 states/eV/cell
**Size of the total moment**: 0.0 μB/f.u.
**Space-group type**: P4/mbm

a = 7.2993 Å, b = 7.2993 Å, c = 3.4936 Å
α = 90.00°, β = 90.00°, γ = 90.00°
Last column: nearest neighbours and their distance in Å.
Fractional positions:
Sn1 0.8373 0.3373 0.5000  6 Tc 2.73-2.79
Sn2 0.3373 0.1627 0.5000  6 Tc 2.73-2.79
Sn3 0.6627 0.8373 0.5000  6 Tc 2.73-2.79
Sn4 0.1627 0.6627 0.5000  6 Tc 2.73-2.79
Ag1 0.5000 0.5000 0.0000  4 Tc 2.84
Ag2 0.0000 0.0000 0.0000  4 Tc 2.84
Tc1 0.3657 0.8657 0.0000  6 Sn 2.73-2.79, 1 Tc 2.77, 2 Ag 2.84
Tc2 0.8657 0.6343 0.0000  6 Sn 2.73-2.79, 1 Tc 2.77, 2 Ag 2.84
Tc3 0.6343 0.1343 0.0000  6 Sn 2.73-2.79, 1 Tc 2.77, 2 Ag 2.84
Tc4 0.1343 0.3657 0.0000  6 Sn 2.73-2.79, 1 Tc 2.77, 2 Ag 2.84


Name the most stable of them. x.